CaTc2Se, relaxed, DFT GGA-PBE; space group = No. 65; volume = 71 Å³ per cell; M_tot = 0.0 μB per cell; total energy = -5.99 eV per atom; E_form (uncorrected) = 54 kJ per mole of atoms
1.0
5.160 0.007 0.000
-2.497 4.516 0.000
0.000 0.000 3.062
Ca Tc Se
1 2 1
Cartesian
2.580 0.003 1.531 Ca
0.000 0.000 0.000 Tc
1.332 2.262 0.000 Tc
-1.249 2.258 1.531 Se